A plane-wave DFT calculation with PBE was carried out for U3Tl2OsO12 after structural relaxation.

Energy relative to the elements, uncorrected: -224 kJ per mole of atoms
Total DFT energy (no corrections): -8.40 eV/atom
Magnetic moment: 1.87 μB/cell
Space-group type: No. 166

Lattice parameters (Å, degrees): 7.6357 7.6357 7.6357 62.70 62.70 62.70
With the nearest neighbours (Å) after each atom.
Atoms (fractional coordinates):
U 0.0000 0.5000 0.0000  6 O 2.04-2.13
U 0.0000 0.0000 0.5000  6 O 2.04-2.13
U 0.5000 0.0000 0.0000  6 O 2.04-2.13
O 0.3193 0.9510 0.3193  2 U 2.13
O 0.0565 0.7031 0.0565  1 Os 1.97, 1 U 2.04
O 0.0565 0.0565 0.7031  1 Os 1.97, 1 U 2.04
O 0.7031 0.0565 0.0565  1 Os 1.97, 1 U 2.04
O 0.0490 0.6807 0.6807  2 U 2.13
O 0.6807 0.6807 0.0490  2 U 2.13
O 0.3193 0.3193 0.9510  2 U 2.13
O 0.9510 0.3193 0.3193  2 U 2.13
O 0.2969 0.9435 0.9435  1 Os 1.97, 1 U 2.04
O 0.9435 0.2969 0.9435  1 Os 1.97, 1 U 2.04
O 0.9435 0.9435 0.2969  1 Os 1.97, 1 U 2.04
O 0.6807 0.0490 0.6807  2 U 2.13
Tl 0.6627 0.6627 0.6627  6 O 3.08-3.20
Tl 0.3373 0.3373 0.3373  6 O 3.08-3.20
Os 0.0000 0.0000 0.0000  6 O 1.97